1.
Ce3NdTh2Se6: optimized geometry, PBE.

Lattice parameters (Å, degrees): 7.267 7.267 7.298 99.55 99.55 119.89
Fractional positions:
Ce: 0.000 0.000 0.000
Ce: 0.334 0.666 0.000
Ce: 0.666 0.334 0.000
Nd: 0.500 0.500 0.500
Th: 0.167 0.833 0.500
Th: 0.833 0.167 0.500
Se: 0.082 0.416 0.248
Se: 0.250 0.250 0.752
Se: 0.416 0.082 0.248
Se: 0.584 0.918 0.752
Se: 0.750 0.750 0.248
Se: 0.918 0.584 0.752

Results
* ρ: 7.91 Mg/m³
* raw formation energy: -1.7330 eV per atom
* density of states at the Fermi level: 1.73 states/eV per atom

***

2.
CeNd3Th2Se6: optimized geometry, PBE.

Lattice parameters (Å, degrees): 7.263 7.263 7.358 99.48 99.48 119.88
Fractional positions:
Ce: 0.000 0.000 0.000
Nd: 0.168 0.832 0.500
Nd: 0.500 0.500 0.500
Nd: 0.832 0.168 0.500
Th: 0.334 0.666 0.000
Th: 0.666 0.334 0.000
Se: 0.083 0.415 0.249
Se: 0.249 0.249 0.750
Se: 0.415 0.083 0.249
Se: 0.585 0.917 0.751
Se: 0.751 0.751 0.250
Se: 0.917 0.585 0.751

Results
* ρ: 7.89 Mg/m³
* raw formation energy: -1.7294 eV per atom
* density of states at the Fermi level: 0.98 states/eV per atom

***

3.
Ce3NdTl4Se8: optimized geometry, PBE.

Lattice parameters (Å, degrees): 9.214 9.214 9.214 56.25 56.25 56.25
Fractional positions:
Ce: 0.000 0.500 0.500
Ce: 0.500 0.000 0.500
Ce: 0.500 0.500 0.000
Nd: 0.000 0.000 0.000
Tl: 0.000 0.000 0.500
Tl: 0.000 0.500 0.000
Tl: 0.500 0.000 0.000
Tl: 0.500 0.500 0.500
Se: 0.237 0.237 0.736
Se: 0.237 0.736 0.237
Se: 0.264 0.264 0.264
Se: 0.264 0.763 0.763
Se: 0.736 0.237 0.237
Se: 0.736 0.736 0.736
Se: 0.763 0.264 0.763
Se: 0.763 0.763 0.264

Results
* ρ: 6.62 Mg/m³
* raw formation energy: -1.3333 eV per atom
* density of states at the Fermi level: 1.24 states/eV per atom

***

4.
CeNdTl2Se4: optimized geometry, PBE.

Lattice parameters (Å, degrees): 7.514 4.343 8.132 90.00 107.93 90.00
Fractional positions:
Ce: 0.000 0.000 0.000
Nd: 0.500 0.500 0.000
Tl: 0.000 0.500 0.500
Tl: 0.500 0.000 0.500
Se: 0.236 0.500 0.210
Se: 0.263 0.000 0.790
Se: 0.737 0.000 0.210
Se: 0.764 0.500 0.790

Results
* ρ: 6.64 Mg/m³
* raw formation energy: -1.3479 eV per atom
* density of states at the Fermi level: 0.81 states/eV per atom

***

5.
CeNd2Tl3Se6: optimized geometry, PBE.

Lattice parameters (Å, degrees): 7.512 7.512 8.136 98.85 98.85 120.00
Fractional positions:
Ce: 0.000 0.000 0.000
Nd: 0.333 0.667 0.000
Nd: 0.667 0.333 0.000
Tl: 0.167 0.833 0.500
Tl: 0.500 0.500 0.500
Tl: 0.833 0.167 0.500
Se: 0.070 0.403 0.210
Se: 0.263 0.263 0.790
Se: 0.403 0.070 0.210
Se: 0.597 0.930 0.790
Se: 0.737 0.737 0.210
Se: 0.930 0.597 0.790

Results
* ρ: 6.65 Mg/m³
* raw formation energy: -1.3579 eV per atom
* density of states at the Fermi level: 0.49 states/eV per atom

***

6.
Ce2NdTm3Se6: optimized geometry, PBE.

Lattice parameters (Å, degrees): 9.278 9.278 8.366 105.10 105.10 25.24
Fractional positions:
Ce: 0.167 0.167 0.334
Ce: 0.833 0.833 0.666
Nd: 0.500 0.500 0.000
Tm: 0.166 0.166 0.832
Tm: 0.500 0.500 0.500
Tm: 0.834 0.834 0.168
Se: 0.003 0.003 0.739
Se: 0.329 0.329 0.926
Se: 0.338 0.338 0.407
Se: 0.662 0.662 0.593
Se: 0.671 0.671 0.074
Se: 0.997 0.997 0.261

Results
* ρ: 7.88 Mg/m³
* raw formation energy: -1.7603 eV per atom
* density of states at the Fermi level: 1.16 states/eV per atom

***

7.
Ce4Nd3TmSe8: optimized geometry, PBE.

Lattice parameters (Å, degrees): 8.400 8.400 8.400 59.78 59.78 59.78
Fractional positions:
Ce: 0.000 0.000 0.000
Ce: 0.000 0.500 0.500
Ce: 0.500 0.000 0.500
Ce: 0.500 0.500 0.000
Nd: 0.000 0.000 0.500
Nd: 0.000 0.500 0.000
Nd: 0.500 0.000 0.000
Tm: 0.500 0.500 0.500
Se: 0.251 0.251 0.251
Se: 0.256 0.256 0.742
Se: 0.256 0.742 0.256
Se: 0.258 0.744 0.744
Se: 0.742 0.256 0.256
Se: 0.744 0.258 0.744
Se: 0.744 0.744 0.258
Se: 0.749 0.749 0.749

Results
* ρ: 7.14 Mg/m³
* raw formation energy: -1.8103 eV per atom
* density of states at the Fermi level: 1.64 states/eV per atom

***

8.
Ce2NdTmSe5: optimized geometry, PBE.

Lattice parameters (Å, degrees): 5.072 5.072 10.960 90.00 90.00 90.00
Fractional positions:
Ce: 0.000 0.000 0.192
Ce: 0.000 0.000 0.808
Nd: 0.500 0.500 0.500
Tm: 0.500 0.500 0.000
Se: 0.000 0.000 0.500
Se: 0.000 0.500 0.000
Se: 0.500 0.000 0.000
Se: 0.500 0.500 0.249
Se: 0.500 0.500 0.751

Results
* ρ: 5.82 Mg/m³
* raw formation energy: -1.3483 eV per atom
* density of states at the Fermi level: 2.10 states/eV per atom

***

What did the first record say?
Ce3NdTh2Se6: optimized geometry, PBE.

Lattice parameters (Å, degrees): 7.267 7.267 7.298 99.55 99.55 119.89
Fractional positions:
Ce: 0.000 0.000 0.000
Ce: 0.334 0.666 0.000
Ce: 0.666 0.334 0.000
Nd: 0.500 0.500 0.500
Th: 0.167 0.833 0.500
Th: 0.833 0.167 0.500
Se: 0.082 0.416 0.248
Se: 0.250 0.250 0.752
Se: 0.416 0.082 0.248
Se: 0.584 0.918 0.752
Se: 0.750 0.750 0.248
Se: 0.918 0.584 0.752

Results
* ρ: 7.91 Mg/m³
* raw formation energy: -1.7330 eV per atom
* density of states at the Fermi level: 1.73 states/eV per atom